The following is a PBE with a Hubbard U calculation of a relaxed structure of MnTlTeF2, from the Alexandria database.

abc: 4.2857 4.2857 6.0469
angles: 90.00 90.00 90.00
Space group P4/mmm (No. 123)
Unique sites:
Mn 0.0000 0.0000 0.0000 [1 per cell]
Tl 0.5000 0.5000 0.5000 [1 per cell]
Te 0.0000 0.0000 0.5000 [1 per cell]
F 0.0000 0.5000 0.0000 [2 per cell]

Values from the calculation:
For the energy, the calculation gives -4.85 eV per atom.